## 1
## SbPb2 (GGA-PBEsol)

Data for a relaxed SbPb2 crystal.

Unit cell a=5.5425 b=5.5357 c=12.4895 alpha=90.00 beta=102.79 gamma=90.00
Last column: nearest neighbours and their distance in Å.
Space group C2/c (No. 15)
Unique sites:
1 Sb 0.0000 0.1253 0.2500  8 Pb 3.22-3.23
2 Pb 0.0675 0.3759 0.8862  4 Sb 3.22-3.23, 3 Pb 3.32-3.40

Properties
V: 31.1 Å³/atom
N(E_F): 5.88 states/eV per cell

## 2
## SbPb2 (GGA-PBEsol)

Data for a relaxed SbPb2 crystal.

Unit cell a=7.4015 b=7.4015 c=7.4015 alpha=90.00 beta=90.00 gamma=90.00
Last column: nearest neighbours and their distance in Å.
Space group Pa-3 (No. 205)
Unique sites:
1 Sb 0.0000 0.0000 0.0000  6 Pb 3.07
2 Pb 0.1242 0.6242 0.8758  3 Sb 3.07, 1 Pb 3.19

Properties
V: 33.8 Å³/atom
N(E_F): 5.65 states/eV per cell

List of relative energies, unit meV per atom: 1 0; 2 51